Computed, not measured: ZnGa5Bi after structural relaxation at the PBE level of DFT.

Values from the calculation:
Magnetization   0.00 μB/f.u.
Calculated volume   148.6 Å³/f.u.
Total DFT energy (no corrections)   -2.8272 eV/atom

a b c (Å): 4.1274 4.1274 8.7200
angles (deg): 90.00 90.00 90.00
Closest atoms and distances in Å follow each position.
Element x y z (fractional)
1 Zn 0.5000 0.5000 0.0000  12 Ga 2.89-2.92
2 Ga 0.5000 0.0000 0.7675  2 Zn 2.89, 6 Ga 2.89-2.92, 2 Bi 3.11
3 Ga 0.0000 0.0000 0.0000  8 Ga 2.89, 4 Zn 2.92
4 Ga 0.0000 0.5000 0.7675  2 Zn 2.89, 6 Ga 2.89-2.92, 2 Bi 3.11
5 Ga 0.5000 0.0000 0.2325  2 Zn 2.89, 6 Ga 2.89-2.92, 2 Bi 3.11
6 Ga 0.0000 0.5000 0.2325  2 Zn 2.89, 6 Ga 2.89-2.92, 2 Bi 3.11
7 Bi 0.0000 0.0000 0.5000  8 Ga 3.11